Record 1
ScCrN2O | Alexandria via LeMat-Bulk | GGA-PBEsol | optimized geometry; total energy = -7.5893 eV per atom; space-group type = No. 123; crystal system = tetragonal; spin magnetization = 0.2198 μB/atom; raw formation energy = 241 meV per atom
1.0
4.0778 0.0000 0.0000
0.0000 4.0778 0.0000
0.0000 0.0000 3.9132
Sc Cr N O
1 1 2 1
Direct
0.0000 0.0000 0.0000 Sc
0.5000 0.5000 0.5000 Cr
0.0000 0.5000 0.0000 N
0.5000 0.0000 0.0000 N
0.0000 0.0000 0.5000 O


Record 2
CrSeN2O | Alexandria via LeMat-Bulk | GGA-PBEsol | optimized geometry; total energy = -6.2582 eV per atom; space-group type = No. 123; crystal system = tetragonal; spin magnetization = 0.6270 μB/atom; raw formation energy = 1021 meV per atom
1.0
3.7828 0.0000 0.0000
0.0000 3.7828 0.0000
0.0000 0.0000 3.6631
Cr Se N O
1 1 2 1
Direct
0.0000 0.0000 0.0000 Cr
0.5000 0.5000 0.5000 Se
0.0000 0.5000 0.5000 N
0.5000 0.0000 0.5000 N
0.5000 0.5000 0.0000 O


Record 3
CrSeN2O | Alexandria via LeMat-Bulk | GGA-PBEsol | optimized geometry; total energy = -6.6922 eV per atom; space-group type = No. 123; crystal system = tetragonal; spin magnetization = 0.0001 μB/atom; raw formation energy = 587 meV per atom
1.0
3.4650 0.0000 0.0000
0.0000 3.4650 0.0000
0.0000 0.0000 5.0686
Cr Se N O
1 1 2 1
Direct
0.0000 0.0000 0.0000 Cr
0.0000 0.0000 0.5000 Se
0.0000 0.5000 0.0000 N
0.5000 0.0000 0.0000 N
0.5000 0.5000 0.5000 O


Record 4
CrSnNO2 | Alexandria via LeMat-Bulk | GGA-PBEsol | optimized geometry; total energy = -6.6831 eV per atom; space-group type = No. 123; crystal system = tetragonal; spin magnetization = 0.5999 μB/atom; raw formation energy = 22 meV per atom
1.0
3.9678 0.0000 0.0000
0.0000 3.9678 0.0000
0.0000 0.0000 4.1284
Cr Sn N O
1 1 1 2
Direct
0.0000 0.0000 0.0000 Cr
0.5000 0.5000 0.5000 Sn
0.5000 0.5000 0.0000 N
0.0000 0.5000 0.5000 O
0.5000 0.0000 0.5000 O


Record 5
TiCrN2O | Alexandria via LeMat-Bulk | GGA-PBEsol | optimized geometry; total energy = -8.7520 eV per atom; space-group type = No. 123; crystal system = tetragonal; spin magnetization = 0.2091 μB/atom; raw formation energy = -579 meV per atom
1.0
3.6605 0.0000 0.0000
0.0000 3.6605 0.0000
0.0000 0.0000 3.5702
Ti Cr N O
1 1 2 1
Direct
0.0000 0.0000 0.0000 Ti
0.5000 0.5000 0.5000 Cr
0.0000 0.5000 0.5000 N
0.5000 0.0000 0.5000 N
0.5000 0.5000 0.0000 O


Record 6
CrWN2O | Alexandria via LeMat-Bulk | GGA-PBEsol | optimized geometry; total energy = -8.9128 eV per atom; space-group type = No. 123; crystal system = tetragonal; spin magnetization = 0.0013 μB/atom; raw formation energy = 358 meV per atom
1.0
3.6698 0.0000 0.0000
0.0000 3.6698 0.0000
0.0000 0.0000 3.5213
Cr W N O
1 1 2 1
Direct
0.0000 0.0000 0.0000 Cr
0.5000 0.5000 0.5000 W
0.0000 0.5000 0.0000 N
0.5000 0.0000 0.0000 N
0.0000 0.0000 0.5000 O


Record 7
ZrCrNO2 | Alexandria via LeMat-Bulk | GGA-PBEsol | optimized geometry; total energy = -9.1705 eV per atom; space-group type = No. 123; crystal system = tetragonal; spin magnetization = 0.4196 μB/atom; raw formation energy = -1499 meV per atom
1.0
3.6434 0.0000 0.0000
0.0000 3.6434 0.0000
0.0000 0.0000 3.7766
Zr Cr N O
1 1 1 2
Direct
0.0000 0.0000 0.0000 Zr
0.5000 0.5000 0.5000 Cr
0.5000 0.5000 0.0000 N
0.0000 0.5000 0.5000 O
0.5000 0.0000 0.5000 O


Record 8
CrOsN2 | Alexandria via LeMat-Bulk | GGA-PBEsol | optimized geometry; total energy = -9.9180 eV per atom; space-group type = No. 166; crystal system = trigonal; spin magnetization = 0.0004 μB/atom; raw formation energy = -40 meV per atom
1.0
1.3280 0.7667 6.3476
-1.3280 0.7667 6.3476
0.0000 -1.5335 6.3476
Cr Os N
1 1 2
Direct
0.0000 0.0000 0.0000 Cr
0.5000 0.5000 0.5000 Os
0.3967 0.3967 0.3967 N
0.6033 0.6033 0.6033 N


Record 9
CrTeOsN2 | Alexandria via LeMat-Bulk | GGA-PBEsol | optimized geometry; total energy = -7.9016 eV per atom; space-group type = No. 123; crystal system = tetragonal; spin magnetization = 0.8334 μB/atom; raw formation energy = 706 meV per atom
1.0
3.7958 0.0000 0.0000
0.0000 3.7958 0.0000
0.0000 0.0000 5.7577
Cr Te Os N
1 1 1 2
Direct
0.0000 0.0000 0.0000 Cr
0.5000 0.5000 0.0000 Te
0.5000 0.5000 0.5000 Os
0.0000 0.5000 0.5000 N
0.5000 0.0000 0.5000 N


Record 10
CrP2RuN | Alexandria via LeMat-Bulk | GGA-PBEsol | optimized geometry; total energy = -7.3953 eV per atom; space-group type = No. 123; crystal system = tetragonal; spin magnetization = 0.2295 μB/atom; raw formation energy = 710 meV per atom
1.0
4.4785 0.0000 0.0000
0.0000 4.4785 0.0000
0.0000 0.0000 3.4168
Cr P Ru N
1 2 1 1
Direct
0.0000 0.0000 0.0000 Cr
0.0000 0.5000 0.0000 P
0.5000 0.0000 0.0000 P
0.5000 0.5000 0.5000 Ru
0.0000 0.0000 0.5000 N


Record 11
CrPS2N | Alexandria via LeMat-Bulk | GGA-PBEsol | optimized geometry; energy above the lowest structure with this stoichiometry = 404 meV per atom; total energy = -5.4422 eV per atom; space-group type = No. 123; crystal system = tetragonal; spin magnetization = 0.3152 μB/atom; raw formation energy = 1224 meV per atom
1.0
4.2611 0.0000 0.0000
0.0000 4.2611 0.0000
0.0000 0.0000 4.5700
Cr P S N
1 1 2 1
Direct
0.0000 0.0000 0.0000 Cr
0.0000 0.0000 0.5000 P
0.0000 0.5000 0.0000 S
0.5000 0.0000 0.0000 S
0.5000 0.5000 0.5000 N


Record 12
CrP2SN | Alexandria via LeMat-Bulk | GGA-PBEsol | optimized geometry; total energy = -6.1955 eV per atom; space-group type = No. 123; crystal system = tetragonal; spin magnetization = 0.5549 μB/atom; raw formation energy = 752 meV per atom
1.0
4.0117 0.0000 0.0000
0.0000 4.0117 0.0000
0.0000 0.0000 3.9159
Cr P S N
1 2 1 1
Direct
0.0000 0.0000 0.0000 Cr
0.0000 0.5000 0.5000 P
0.5000 0.0000 0.5000 P
0.5000 0.5000 0.0000 S
0.5000 0.5000 0.5000 N


Record 13
CrPS2N | Alexandria via LeMat-Bulk | GGA-PBEsol | optimized geometry; energy above the lowest structure with this stoichiometry = 0 meV per atom; total energy = -5.8465 eV per atom; space-group type = No. 123; crystal system = tetragonal; spin magnetization = 0.5449 μB/atom; raw formation energy = 819 meV per atom
1.0
3.9722 0.0000 0.0000
0.0000 3.9722 0.0000
0.0000 0.0000 4.0985
Cr P S N
1 1 2 1
Direct
0.0000 0.0000 0.0000 Cr
0.5000 0.5000 0.0000 P
0.0000 0.5000 0.5000 S
0.5000 0.0000 0.5000 S
0.5000 0.5000 0.5000 N


Record 14
CrPbN2 | Alexandria via LeMat-Bulk | GGA-PBEsol | optimized geometry; total energy = -7.8726 eV per atom; space-group type = No. 122; crystal system = tetragonal; spin magnetization = 0.0001 μB/atom; raw formation energy = -49 meV per atom
1.0
-2.6174 2.6174 4.2750
2.6174 -2.6174 4.2750
2.6174 2.6174 -4.2750
Cr Pb N
2 2 4
Direct
0.0000 0.0000 0.0000 Cr
0.7500 0.2500 0.5000 Cr
0.2500 0.7500 0.5000 Pb
0.5000 0.5000 0.0000 Pb
0.3750 0.0210 0.1460 N
0.7710 0.6250 0.6460 N
0.8750 0.2290 0.8540 N
0.9790 0.1250 0.3540 N


Record 15
Cr2PbN | Alexandria via LeMat-Bulk | GGA-PBEsol | optimized geometry; total energy = -6.8065 eV per atom; space-group type = No. 225; crystal system = cubic; spin magnetization = 1.5589 μB/atom; raw formation energy = 1446 meV per atom
1.0
0.0000 3.1088 3.1088
3.1088 0.0000 3.1088
3.1088 3.1088 0.0000
Cr Pb N
2 1 1
Direct
0.2500 0.2500 0.2500 Cr
0.7500 0.7500 0.7500 Cr
0.0000 0.0000 0.0000 Pb
0.5000 0.5000 0.5000 N


Record 16
CrPbN3 | Alexandria via LeMat-Bulk | GGA-PBEsol | optimized geometry; total energy = -5.7531 eV per atom; space-group type = No. 221; crystal system = cubic; spin magnetization = 0.2416 μB/atom; raw formation energy = 2211 meV per atom
1.0
4.2281 0.0000 0.0000
0.0000 4.2281 0.0000
0.0000 0.0000 4.2281
Cr Pb N
1 1 3
Direct
0.0000 0.0000 0.0000 Cr
0.5000 0.5000 0.5000 Pb
0.0000 0.5000 0.5000 N
0.5000 0.0000 0.5000 N
0.5000 0.5000 0.0000 N


Record 17
CrPbN3 | Alexandria via LeMat-Bulk | GGA-PBEsol | optimized geometry; total energy = -7.4800 eV per atom; space-group type = No. 221; crystal system = cubic; spin magnetization = 0.0003 μB/atom; raw formation energy = 484 meV per atom
1.0
3.8151 0.0000 0.0000
0.0000 3.8151 0.0000
0.0000 0.0000 3.8151
Cr Pb N
1 1 3
Direct
0.0000 0.0000 0.0000 Cr
0.5000 0.5000 0.5000 Pb
0.0000 0.0000 0.5000 N
0.0000 0.5000 0.0000 N
0.5000 0.0000 0.0000 N


Record 18
Cr3PdN | Alexandria via LeMat-Bulk | GGA-PBEsol | optimized geometry; total energy = -9.3237 eV per atom; space-group type = No. 221; crystal system = cubic; spin magnetization = 0.0019 μB/atom; raw formation energy = -281 meV per atom
1.0
3.7855 0.0000 0.0000
0.0000 3.7855 0.0000
0.0000 0.0000 3.7855
Cr Pd N
3 1 1
Direct
0.0000 0.0000 0.5000 Cr
0.0000 0.5000 0.0000 Cr
0.5000 0.0000 0.0000 Cr
0.5000 0.5000 0.5000 Pd
0.0000 0.0000 0.0000 N


Record 19
CrPdS2N | Alexandria via LeMat-Bulk | GGA-PBEsol | optimized geometry; total energy = -5.9099 eV per atom; space-group type = No. 123; crystal system = tetragonal; spin magnetization = 0.7176 μB/atom; raw formation energy = 789 meV per atom
1.0
4.8127 0.0000 0.0000
0.0000 4.8127 0.0000
0.0000 0.0000 3.5910
Cr Pd S N
1 1 2 1
Direct
0.0000 0.0000 0.0000 Cr
0.5000 0.5000 0.5000 Pd
0.0000 0.5000 0.5000 S
0.5000 0.0000 0.5000 S
0.5000 0.5000 0.0000 N


Record 20
CrPdSN2 | Alexandria via LeMat-Bulk | GGA-PBEsol | optimized geometry; total energy = -7.1063 eV per atom; space-group type = No. 123; crystal system = tetragonal; spin magnetization = 0.0052 μB/atom; raw formation energy = 421 meV per atom
1.0
3.5576 0.0000 0.0000
0.0000 3.5576 0.0000
0.0000 0.0000 4.9217
Cr Pd S N
1 1 1 2
Direct
0.0000 0.0000 0.0000 Cr
0.5000 0.5000 0.5000 Pd
0.0000 0.0000 0.5000 S
0.0000 0.5000 0.0000 N
0.5000 0.0000 0.0000 N